The following is a DFT calculation (GGA-PBE) of a relaxed structure of AlIrC.

Summary:
Crystal system   triclinic
Volume   83.6 Å³ per cell
Energy of formation from the pure elements   0.259 eV per formula unit
M_tot   0.000 Bohr magnetons per cell
E_tot   -0.528 Ry/atom

Cell lengths 4.434, 4.588, 4.770 Å; angles 113.90, 93.83, 105.89 degrees
Space group P1 (No. 1)
Unique sites:
Al (0.000, 0.000, 0.000) (multiplicity 1)
Al (0.179, 0.372, 0.663) (multiplicity 1)
Ir (0.191, 0.655, 0.237) (multiplicity 1)
Ir (0.617, 0.289, 0.327) (multiplicity 1)
C (0.653, 0.910, 0.393) (multiplicity 1)
C (0.866, 0.812, 0.533) (multiplicity 1)

***

The following is a DFT calculation (GGA-PBE) of a relaxed structure of AlIrC.

Summary:
Crystal system   monoclinic
Volume   151.3 Å³ per cell
Energy of formation from the pure elements   0.282 eV per formula unit
M_tot   0.000 Bohr magnetons per cell
E_tot   -0.528 Ry/atom

Cell lengths 7.204, 4.145, 5.290 Å; angles 90.00, 106.64, 90.00 degrees
Space group Cm (No. 8)
Unique sites:
Al (0.000, 0.000, 0.000) (multiplicity 2)
Al (0.245, 0.500, 0.393) (multiplicity 2)
Ir (0.365, 0.000, 0.126) (multiplicity 2)
Ir (0.478, 0.000, 0.659) (multiplicity 2)
C (0.206, 0.169, 0.723) (multiplicity 4)

***

The following is a DFT calculation (GGA-PBE) of a relaxed structure of AlIrC.

Summary:
Crystal system   monoclinic
Volume   171.9 Å³ per cell
Energy of formation from the pure elements   -0.139 eV per formula unit
M_tot   0.000 Bohr magnetons per cell
E_tot   -0.538 Ry/atom

Cell lengths 16.490, 2.778, 3.846 Å; angles 90.00, 102.78, 90.00 degrees
Space group C2/m (No. 12)
Unique sites:
Al (0.197, 0.000, 0.199) (multiplicity 4)
Ir (0.133, 0.500, 0.637) (multiplicity 4)
C (0.041, 0.000, 0.543) (multiplicity 4)

***

The following is a DFT calculation (GGA-PBE) of a relaxed structure of AlIrC.

Summary:
Crystal system   orthorhombic
Volume   73.9 Å³ per cell
Energy of formation from the pure elements   -0.107 eV per formula unit
M_tot   0.000 Bohr magnetons per cell
E_tot   -0.537 Ry/atom

Cell lengths 3.062, 4.291, 5.622 Å; angles 90.00, 90.00, 90.00 degrees
Space group Pmm2 (No. 25)
Unique sites:
Al (0.000, 0.000, 0.000) (multiplicity 1)
Al (0.000, 0.500, 0.363) (multiplicity 1)
Ir (0.500, 0.000, 0.373) (multiplicity 1)
Ir (0.500, 0.500, 0.997) (multiplicity 1)
C (0.500, 0.344, 0.630) (multiplicity 2)

***

The following is a DFT calculation (GGA-PBE) of a relaxed structure of AlIrC.

Summary:
Crystal system   monoclinic
Volume   161.7 Å³ per cell
Energy of formation from the pure elements   0.181 eV per formula unit
M_tot   0.000 Bohr magnetons per cell
E_tot   -0.530 Ry/atom

Cell lengths 7.989, 5.164, 4.676 Å; angles 90.00, 123.04, 90.00 degrees
Space group C2 (No. 5)
Unique sites:
Al (0.128, 0.000, 0.381) (multiplicity 4)
Ir (0.195, 0.307, 0.031) (multiplicity 4)
C (0.092, 0.669, 0.023) (multiplicity 4)

***

The following is a DFT calculation (GGA-PBE) of a relaxed structure of AlIrC.

Summary:
Crystal system   monoclinic
Volume   163.1 Å³ per cell
Energy of formation from the pure elements   0.259 eV per formula unit
M_tot   0.000 Bohr magnetons per cell
E_tot   -0.528 Ry/atom

Cell lengths 7.208, 4.093, 5.536 Å; angles 90.00, 93.24, 90.00 degrees
Space group Cm (No. 8)
Unique sites:
Al (0.000, 0.000, 0.000) (multiplicity 2)
Al (0.156, 0.500, 0.726) (multiplicity 2)
Ir (0.170, 0.500, 0.210) (multiplicity 2)
Ir (0.469, 0.500, 0.560) (multiplicity 2)
C (0.389, 0.170, 0.262) (multiplicity 4)